First-principles (PBE) data for AlCdRh2 after structural relaxation, as listed in Alexandria via LeMat-Bulk.

Unit cell a=5.3902 b=5.3902 c=5.3902 alpha=147.45 beta=131.65 gamma=59.51
Last column: nearest neighbours and their distance in Å.
Element x y z (fractional)
Cd1 0.2583 0.7583 0.5000  6 Rh 2.69-2.92, 2 Al 2.87
Rh1 0.9909 0.9909 0.0000  4 Al 2.69, 2 Rh 2.86, 2 Cd 2.92
Rh2 0.7313 0.2313 0.5000  2 Al 2.49, 4 Cd 2.69
Al1 0.5195 0.5195 0.0000  6 Rh 2.49-2.69

Computed properties:
Total energy (eV per cell): -20.68
D(E_F) (states/eV/atom): 0.9458


First-principles (PBE) data for AlCd2Rh after structural relaxation, as listed in Alexandria via LeMat-Bulk.

Unit cell a=5.2605 b=5.2605 c=5.2605 alpha=136.09 beta=136.19 gamma=63.77
Last column: nearest neighbours and their distance in Å.
Element x y z (fractional)
Cd1 0.0001 0.0001 0.0000  4 Cd 2.78, 4 Rh 2.97-2.98, 4 Al 2.97-2.98
Cd2 0.4999 0.4999 0.0000  4 Cd 2.78, 4 Rh 2.97-2.98, 4 Al 2.97-2.98
Rh1 0.7500 0.2500 0.5000  4 Al 2.78, 8 Cd 2.97-2.98
Al1 0.2500 0.7500 0.5000  4 Rh 2.78, 8 Cd 2.97-2.98

Computed properties:
Total energy (eV per cell): -13.78
D(E_F) (states/eV/atom): 0.3102


First-principles (PBE) data for AlCdRh2 after structural relaxation, as listed in Alexandria via LeMat-Bulk.

Unit cell a=4.0613 b=4.0613 c=9.1800 alpha=77.22 beta=77.22 gamma=90.00
Last column: nearest neighbours and their distance in Å.
Element x y z (fractional)
Rh1 0.8750 0.8183 0.7500  2 Al 2.53, 2 Rh 2.57, 2 Cd 2.71
Rh2 0.5683 0.1250 0.2500  2 Al 2.53, 2 Rh 2.57, 2 Cd 2.71
Rh3 0.3750 0.4317 0.7500  2 Al 2.53, 2 Rh 2.57, 2 Cd 2.71
Rh4 0.1817 0.6250 0.2500  2 Al 2.53, 2 Rh 2.57, 2 Cd 2.71
Cd1 0.0000 0.0000 0.0000  4 Rh 2.71, 4 Al 2.87
Cd2 0.7500 0.2500 0.5000  4 Rh 2.71, 4 Al 2.87
Al1 0.5000 0.5000 0.0000  4 Rh 2.53
Al2 0.2500 0.7500 0.5000  4 Rh 2.53

Computed properties:
Total energy (eV per cell): -37.82
D(E_F) (states/eV/atom): 0.6762


First-principles (PBE) data for AlCd2Rh after structural relaxation, as listed in Alexandria via LeMat-Bulk.

Unit cell a=3.2141 b=4.0220 c=5.5264 alpha=90.00 beta=90.00 gamma=90.00
Last column: nearest neighbours and their distance in Å.
Element x y z (fractional)
Cd1 0.0000 0.0000 0.4938  2 Cd 2.69-2.83, 4 Rh 2.91, 4 Al 2.94
Cd2 0.0000 0.0000 0.0062  2 Cd 2.69-2.83, 4 Rh 2.91, 4 Al 2.94
Al1 0.5000 0.5000 0.7500  2 Rh 2.76, 8 Cd 2.94
Rh1 0.5000 0.5000 0.2500  2 Al 2.76, 8 Cd 2.91

Computed properties:
Total energy (eV per cell): -13.23
D(E_F) (states/eV/atom): 0.4957


First-principles (PBE) data for AlCdRh3 after structural relaxation, as listed in Alexandria via LeMat-Bulk.

Unit cell a=4.8287 b=4.8287 c=4.8287 alpha=90.00 beta=90.00 gamma=90.00
Last column: nearest neighbours and their distance in Å.
Element x y z (fractional)
Rh1 0.0000 0.0000 0.5000  2 Cd 2.41
Rh2 0.0000 0.5000 0.0000  2 Cd 2.41
Rh3 0.5000 0.0000 0.0000  2 Cd 2.41
Al1 0.5000 0.5000 0.5000  12 Rh 3.41
Cd1 0.0000 0.0000 0.0000  6 Rh 2.41

Computed properties:
Distance to the lowest polymorph of the same formula (meV/atom): 1125
Total energy (eV per cell): -19.47
D(E_F) (states/eV/atom): 1.8228


First-principles (PBE) data for AlCd2Rh after structural relaxation, as listed in Alexandria via LeMat-Bulk.

Unit cell a=5.0570 b=2.9607 c=4.7520 alpha=88.91 beta=90.00 gamma=90.00
Last column: nearest neighbours and their distance in Å.
Element x y z (fractional)
Rh1 0.5000 0.2500 0.2500  4 Al 2.78-2.82, 4 Cd 2.89, 2 Rh 2.96
Cd1 0.0000 0.5046 0.4966  6 Cd 2.73-2.96, 2 Rh 2.89, 2 Al 2.90
Cd2 0.0000 0.9954 0.0034  6 Cd 2.73-2.96, 2 Rh 2.89, 2 Al 2.90
Al1 0.5000 0.7500 0.7500  4 Rh 2.78-2.82, 4 Cd 2.90, 2 Al 2.96

Computed properties:
Total energy (eV per cell): -13.24
D(E_F) (states/eV/atom): 0.4637